Here is a relaxed GdICl2 crystal from OQMD. Energies are from PBE-GGA.

```
data_GdICl2
_symmetry_space_group_name_H-M 'C 1 2/m 1'
_symmetry_Int_Tables_number 12
_cell_length_a 7.0534
_cell_length_b 12.9054
_cell_length_c 6.9204
_cell_angle_alpha 90.00
_cell_angle_beta 107.92
_cell_angle_gamma 90.00
loop_
_symmetry_equiv_pos_as_xyz
'x,y,z'
'-x,-y,-z'
'-x,y,-z'
'x,-y,z'
'x+1/2,y+1/2,z'
'-x+1/2,-y+1/2,-z'
'-x+1/2,y+1/2,-z'
'x+1/2,-y+1/2,z'
loop_
_atom_site_label
_atom_site_type_symbol
_atom_site_fract_x
_atom_site_fract_y
_atom_site_fract_z
_atom_site_occupancy
Gd1 Gd 0.0000 0.1722 0.0000 1
I1 I 0.2351 0.0000 0.2730 1
Cl1 Cl 0.2479 0.1881 0.7743 1
```

Results
Final energy ... -4.46 eV/atom

***

Here is a relaxed Gd4IN2Cl crystal from OQMD. Energies are from PBE-GGA.

```
data_Gd4IN2Cl
_symmetry_space_group_name_H-M 'P -6 m 2'
_symmetry_Int_Tables_number 187
_symmetry_space_group_name_Hall 'P -6 2'
_cell_length_a 3.6414
_cell_length_b 3.6414
_cell_length_c 14.1243
_cell_angle_alpha 90.00
_cell_angle_beta 90.00
_cell_angle_gamma 120.00
loop_
_atom_site_label
_atom_site_type_symbol
_atom_site_fract_x
_atom_site_fract_y
_atom_site_fract_z
_atom_site_occupancy
Gd1 Gd 0.0000 0.0000 0.1501 1
Gd2 Gd 0.3333 0.6667 0.3287 1
I1 I 0.0000 0.0000 0.5000 1
N1 N 0.6667 0.3333 0.2329 1
Cl1 Cl 0.3333 0.6667 0.0000 1
```

Results
Final energy ... -6.24 eV/atom

***

Here is a relaxed Gd2IClO2 crystal from OQMD. Energies are from PBE-GGA.

```
data_Gd2IClO2
_symmetry_space_group_name_H-M 'P 4 m m'
_symmetry_Int_Tables_number 99
_cell_length_a 3.8965
_cell_length_b 3.8965
_cell_length_c 8.7366
_cell_angle_alpha 90.00
_cell_angle_beta 90.00
_cell_angle_gamma 90.00
loop_
_symmetry_equiv_pos_as_xyz
'x,y,z'
'-y,x,z'
'-x,-y,z'
'y,-x,z'
'-x,y,z'
'y,x,z'
'x,-y,z'
'-y,-x,z'
loop_
_atom_site_label
_atom_site_type_symbol
_atom_site_fract_x
_atom_site_fract_y
_atom_site_fract_z
_atom_site_occupancy
Gd1 Gd 0.0000 0.0000 0.0000 1
Gd2 Gd 0.5000 0.5000 0.2644 1
I1 I 0.0000 0.0000 0.4856 1
Cl1 Cl 0.5000 0.5000 0.8366 1
O1 O 0.0000 0.5000 0.1335 1
```

Results
Final energy ... -6.65 eV/atom